Entry 1:
This record from Alexandria via LeMat-Bulk describes crystalline Ac2MgPa at its relaxed geometry. The functional is PBE-GGA.

M_tot, μB/cell: 0.000
N(E_F), states/eV/atom: 1.55
Crystal system: trigonal
Symmetry: R-3m (166)
Formation enthalpy at 0 K, eV/f.u.: 2.1
E_tot, eV per cell: -17.23
E above lowest polymorph, eV per atom: 0.290

abc: 13.018 13.018 13.018
angles: 15.41 15.41 15.41
Element x y z (fractional)
1 Ac 0.087 0.087 0.087
2 Ac 0.913 0.913 0.913
3 Mg 0.500 0.500 0.500
4 Pa 0.000 0.000 0.000

=====

Entry 2:
This record from Alexandria via LeMat-Bulk describes crystalline SrTlSn2Os at its relaxed geometry. The functional is PBE-GGA.

M_tot, μB/cell: 3.196
N(E_F), states/eV/atom: 1.24
Crystal system: tetragonal
Symmetry: P4/mmm (123)
Formation enthalpy at 0 K, eV/f.u.: 10.0
E_tot, eV per cell: -13.29
E above lowest polymorph, eV per atom: 1.011

abc: 5.924 5.924 5.902
angles: 90.00 90.00 90.00
Element x y z (fractional)
1 Sr 0.000 0.000 0.000
2 Tl 0.000 0.000 0.500
3 Sn 0.000 0.500 0.000
4 Sn 0.500 0.000 0.000
5 Os 0.500 0.500 0.500

=====

Entry 3:
This record from Alexandria via LeMat-Bulk describes crystalline NaCa2NpTe4 at its relaxed geometry. The functional is PBE-GGA.

M_tot, μB/cell: 4.000
N(E_F), states/eV/atom: 0.80
Crystal system: monoclinic
Symmetry: P2/m (10)
Formation energy (no corrections), eV/atom: -1.196
E_tot, eV per cell: -40.40

abc: 7.785 4.514 7.825
angles: 90.00 108.82 90.00
Element x y z (fractional)
1 Na 0.000 0.000 0.000
2 Ca 0.500 0.000 0.500
3 Ca 0.500 0.500 0.000
4 Np 0.000 0.500 0.500
5 Te 0.247 0.000 0.745
6 Te 0.251 0.500 0.257
7 Te 0.749 0.500 0.743
8 Te 0.753 0.000 0.255

=====

Entry 4:
This record from Alexandria via LeMat-Bulk describes crystalline Li2ZnS at its relaxed geometry. The functional is PBE-GGA.

M_tot, μB/cell: 0.000
N(E_F), states/eV/atom: 0.00
Crystal system: tetragonal
Symmetry: I-42d (122)
Formation energy (no corrections), eV/atom: -0.498
E_tot, eV per cell: -22.44
E above lowest polymorph, eV per atom: 0.039

abc: 7.603 7.603 7.603
angles: 128.36 128.36 76.04
Element x y z (fractional)
1 Li 0.375 0.167 0.292
2 Li 0.833 0.125 0.208
3 Li 0.875 0.083 0.708
4 Li 0.917 0.625 0.792
5 Zn 0.250 0.750 0.500
6 Zn 0.500 0.500 0.000
7 S 0.000 0.000 0.000
8 S 0.750 0.250 0.500

=====

Entry 5:
This record from Alexandria via LeMat-Bulk describes crystalline PmPaAs2 at its relaxed geometry. The functional is PBE-GGA.

M_tot, μB/cell: 1.138
N(E_F), states/eV/atom: 1.21
Crystal system: cubic
Symmetry: Fm-3m (225)
Formation enthalpy at 0 K, eV/f.u.: -3.7
E_tot, eV per cell: -27.27
E above lowest polymorph, eV per atom: 0.356

abc: 5.057 5.057 5.057
angles: 60.00 60.00 60.00
Element x y z (fractional)
1 Pm 0.000 0.000 0.000
2 Pa 0.500 0.500 0.500
3 As 0.250 0.250 0.250
4 As 0.750 0.750 0.750

=====

Entry 6:
This record from Alexandria via LeMat-Bulk describes crystalline TcAs2Br at its relaxed geometry. The functional is PBE-GGA.

M_tot, μB/cell: 0.001
N(E_F), states/eV/atom: 0.78
Crystal system: monoclinic
Symmetry: C2/m (12)
Formation energy (no corrections), eV/atom: 0.667
E_tot, eV per cell: -18.67
E above lowest polymorph, eV per atom: 0.676

abc: 4.862 4.862 3.348
angles: 100.52 100.52 105.49
Element x y z (fractional)
1 Tc 0.000 0.000 0.000
2 As 0.000 0.500 0.500
3 As 0.500 0.000 0.500
4 Br 0.500 0.500 0.000

=====

Entry 7:
This record from Alexandria via LeMat-Bulk describes crystalline ZrMo2Pt at its relaxed geometry. The functional is PBE-GGA.

M_tot, μB/cell: 0.000
N(E_F), states/eV/atom: 0.90
Crystal system: orthorhombic
Symmetry: Immm (71)
Formation enthalpy at 0 K, eV/f.u.: -0.7
E_tot, eV per cell: -36.94
E above lowest polymorph, eV per atom: 0.098

abc: 5.321 5.321 5.321
angles: 141.46 132.09 63.10
Element x y z (fractional)
1 Zr 0.000 0.000 0.000
2 Mo 0.244 0.744 0.500
3 Mo 0.756 0.256 0.500
4 Pt 0.500 0.500 0.000

=====

Entry 8:
This record from Alexandria via LeMat-Bulk describes crystalline Co3IrSe at its relaxed geometry. The functional is PBE-GGA.

M_tot, μB/cell: 5.160
N(E_F), states/eV/atom: 1.88
Crystal system: cubic
Symmetry: Pm-3m (221)
Formation energy (no corrections), eV/atom: 0.981
E_tot, eV per cell: -28.76
E above lowest polymorph, eV per atom: 0.000

abc: 4.256 4.256 4.256
angles: 90.00 90.00 90.00
Element x y z (fractional)
1 Co 0.000 0.000 0.500
2 Co 0.000 0.500 0.000
3 Co 0.500 0.000 0.000
4 Ir 0.500 0.500 0.500
5 Se 0.000 0.000 0.000